# Pm7TlRh2

Crystalline Pm7TlRh2 at its relaxed geometry (PBE, Alexandria). Values from VASP.

## Properties
DFT total energy ... -52.3 eV for the cell shown
M_tot ... 0.00 μB/atom

Quantum ESPRESSO input file:
```
&SYSTEM
  ibrav = 0, nat = 10, ntyp = 3
/
ATOMIC_SPECIES
Pm 145.00 Pm.upf
Tl 204.38 Tl.upf
Rh 102.91 Rh.upf
ATOMIC_POSITIONS crystal
Pm 0.000 0.000 0.000
Pm 0.189 0.445 0.000
Pm 0.210 0.790 0.500
Pm 0.445 0.189 0.000
Pm 0.555 0.811 0.000
Pm 0.790 0.210 0.500
Pm 0.811 0.555 0.000
Tl 0.500 0.500 0.500
Rh 0.203 0.797 0.000
Rh 0.797 0.203 0.000
CELL_PARAMETERS angstrom
4.582 -6.981 0.000
4.582 6.981 0.000
0.000 0.000 5.310
```

# LaTlCl2

Crystalline LaTlCl2 at its relaxed geometry (PBE, Alexandria). Values from VASP.

## Properties
DFT total energy ... -32.9 eV for the cell shown
Energy relative to the elements, uncorrected ... -5.5 eV per formula unit
M_tot ... 0.00 μB/atom
Excess energy over the best structure of this formula in the dataset ... 0.056 eV/atom

Quantum ESPRESSO input file:
```
&SYSTEM
  ibrav = 0, nat = 8, ntyp = 3
/
ATOMIC_SPECIES
La 138.91 La.upf
Tl 204.38 Tl.upf
Cl 35.45 Cl.upf
ATOMIC_POSITIONS crystal
La 0.000 0.000 0.000
La 0.500 0.500 0.000
Tl 0.000 0.500 0.500
Tl 0.500 0.000 0.500
Cl 0.219 0.500 0.202
Cl 0.281 0.000 0.798
Cl 0.719 0.000 0.202
Cl 0.781 0.500 0.798
CELL_PARAMETERS angstrom
10.014 0.000 0.000
0.000 3.801 0.000
-1.561 0.000 5.981
```

# BeNiTe

Crystalline BeNiTe at its relaxed geometry (PBE, Alexandria). Values from VASP.

## Properties
DFT total energy ... -23.2 eV for the cell shown
Energy relative to the elements, uncorrected ... 1.0 eV per formula unit
M_tot ... 0.00 μB/atom

Quantum ESPRESSO input file:
```
&SYSTEM
  ibrav = 0, nat = 6, ntyp = 3
/
ATOMIC_SPECIES
Be 9.01 Be.upf
Ni 58.69 Ni.upf
Te 127.60 Te.upf
ATOMIC_POSITIONS crystal
Be 0.000 0.000 0.000
Be 0.500 0.500 0.500
Ni 0.000 0.000 0.556
Ni 0.500 0.500 0.056
Te 0.000 0.000 0.283
Te 0.500 0.500 0.783
CELL_PARAMETERS angstrom
3.116 0.000 0.000
0.000 3.116 0.000
0.000 0.000 9.739
```